Ca3TiO | PBE | relaxed

For the excess energy over the best structure of this formula in the dataset, the calculation gives 0.000 eV/atom. As for the volume: 121.2 Å³/f.u. The value obtained for the uncorrected formation energy is -356 kJ/mol of formula units.

The space group is Pm-3m (No. 221) and the conventional cell measures 4.948, 4.948 and 4.948 Å, with angles of 90.00, 90.00 and 90.00 degrees. The inequivalent atoms are Ca at (0.000, 0.000, 0.500), Ti at (0.500, 0.500, 0.500) and O at (0.000, 0.000, 0.000).